1.
Density functional theory data (GGA-PBE) for a relaxed structure of Th4GaAsSe2.

```
Th4GaAsSe2
1.0
4.288 0.000 0.000
0.000 7.316 -0.104
0.000 2.616 6.930
Th Ga As Se
4 1 1 2
Cartesian
0.000 7.401 5.130
4.288 2.531 1.697
2.144 6.096 1.680
2.144 3.837 5.147
0.000 4.966 3.413
2.144 6.274 6.878
0.000 2.616 6.930
2.144 1.308 3.465
```


2.
Density functional theory data (GGA-PBE) for a relaxed structure of ReHgSe.

E above lowest polymorph: 0.3454 eV/atom

```
ReHgSe
1.0
8.623 0.032 -0.020
7.845 2.904 -0.036
0.778 -1.302 2.560
Hg Re Se
1 1 1
Cartesian
16.108 2.839 0.004
5.811 0.058 1.721
11.795 1.674 0.724
```


| no. | E_form (uncorrected) (eV/f.u.) |
| --- | --- |
| 1 | -9.89 |
| 2 | 1.87 |